Entry 1:
Entry from Alexandria via LeMat-Bulk: crystalline TiBi3Pd at its relaxed geometry (PBE).

The structure belongs to space group Pm-3m (No. 221); the cell edges are 5.3349, 5.3349 and 5.3349 Å and the angles 90.00°, 90.00° and 90.00°. The inequivalent atoms are Ti at (0.0000, 0.0000, 0.0000), Bi at (0.0000, 0.0000, 0.5000) and Pd at (0.5000, 0.5000, 0.5000).

Its formation enthalpy at 0 K is 0.4294 eV per atom. As for the magnetic moment: 0.00 μB per cell. The value obtained for the relative energy among the computed polymorphs is 0.000 eV per atom. Its raw total energy is -4.52 eV per atom.


Entry 2:
Entry from Alexandria via LeMat-Bulk: crystalline CrBiSe2Br at its relaxed geometry (PBE).

The structure belongs to space group P4/mmm (No. 123); the cell edges are 5.0367, 5.0367 and 4.8592 Å and the angles 90.00°, 90.00° and 90.00°. The inequivalent atoms are Cr at (0.0000, 0.0000, 0.0000), Bi at (0.5000, 0.5000, 0.5000), Se at (0.0000, 0.5000, 0.0000) and Br at (0.0000, 0.0000, 0.5000).

For the energy relative to the elements, uncorrected, the calculation gives -0.06 eV/atom. As for the magnetic moment: 3.60 μB per cell. The value obtained for the relative energy among the computed polymorphs is 0.000 eV per atom. Its raw total energy is -4.49 eV per atom.


Entry 3:
Entry from Alexandria via LeMat-Bulk: crystalline Rb3PaTe4 at its relaxed geometry (PBE).

The structure belongs to space group Pmn2_1 (No. 31); the cell edges are 12.2298, 10.3337 and 7.0756 Å and the angles 90.00°, 90.00° and 90.00°. The inequivalent atoms are Rb at (0.0000, 0.1643, 0.0000), Rb at (0.2309, 0.3287, 0.5014), Pa at (0.0000, 0.8202, 0.4448), Te at (0.0000, 0.0972, 0.5019), Te at (0.0000, 0.8143, 0.0357) and Te at (0.2062, 0.6887, 0.5038).

For the energy relative to the elements, uncorrected, the calculation gives -0.88 eV/atom. As for the magnetic moment: 0.00 μB per cell. The value obtained for the relative energy among the computed polymorphs is 0.127 eV per atom. Its raw total energy is -4.00 eV per atom.


Entry 4:
Entry from Alexandria via LeMat-Bulk: crystalline KNa2AsF6 at its relaxed geometry (PBE).

The structure belongs to space group Fm-3m (No. 225); the cell edges are 9.0450, 9.0450 and 9.0450 Å and the angles 90.00°, 90.00° and 90.00°. The inequivalent atoms are K at (0.0000, 0.0000, 0.0000), Na at (0.2500, 0.2500, 0.2500), As at (0.0000, 0.0000, 0.5000) and F at (0.0000, 0.0000, 0.2731).

For the energy relative to the elements, uncorrected, the calculation gives -2.32 eV/atom. As for the magnetic moment: 0.00 μB per cell. The value obtained for the relative energy among the computed polymorphs is 0.198 eV per atom. Its raw total energy is -4.28 eV per atom.


Entry 5:
Entry from Alexandria via LeMat-Bulk: crystalline Tl7Te3Br at its relaxed geometry (PBE).

The structure belongs to space group Cmcm (No. 63); the cell edges are 15.4585, 12.2086 and 9.9436 Å and the angles 90.00°, 90.00° and 90.00°. The inequivalent atoms are Tl at (0.0000, 0.1534, 0.2500), Tl at (0.1177, 0.2477, 0.5432), Tl at (0.1452, 0.4875, 0.2500), Te at (0.0000, 0.5000, 0.0000), Te at (0.2174, 0.2268, 0.2500) and Br at (0.0000, 0.0000, 0.0000).

For the energy relative to the elements, uncorrected, the calculation gives -0.32 eV/atom. As for the magnetic moment: 0.00 μB per cell. Its raw total energy is -2.84 eV per atom.


Entry 6:
Entry from Alexandria via LeMat-Bulk: crystalline In2GeMoPd at its relaxed geometry (PBE).

The structure belongs to space group P4/mmm (No. 123); the cell edges are 5.2301, 5.2301 and 4.7871 Å and the angles 90.00°, 90.00° and 90.00°. The inequivalent atoms are In at (0.0000, 0.5000, 0.0000), Ge at (0.0000, 0.0000, 0.5000), Mo at (0.0000, 0.0000, 0.0000) and Pd at (0.5000, 0.5000, 0.5000).

Its formation enthalpy at 0 K is 0.6748 eV per atom. As for the magnetic moment: 0.00 μB per cell. Its raw total energy is -4.55 eV per atom.


Entry 7:
Entry from Alexandria via LeMat-Bulk: crystalline PrNd2Sc2 at its relaxed geometry (PBE).

The structure belongs to space group C2/m (No. 12); the cell edges are 18.0421, 4.9285 and 7.0604 Å and the angles 90.00°, 101.29° and 90.00°. The inequivalent atoms are Pr at (0.1939, 0.0000, 0.3417), Nd at (0.0955, 0.5000, 0.5503), Nd at (0.1961, 0.0000, 0.8532), Sc at (0.0008, 0.0000, 0.7678) and Sc at (0.0902, 0.5000, 0.0426).

Its formation enthalpy at 0 K is 0.0661 eV per atom. As for the magnetic moment: 0.00 μB per cell. The value obtained for the relative energy among the computed polymorphs is 0.000 eV per atom. Its raw total energy is -5.33 eV per atom.


Entry 8:
Entry from Alexandria via LeMat-Bulk: crystalline SbPbW2 at its relaxed geometry (PBE).

The structure belongs to space group P2/m (No. 10); the cell edges are 3.5123, 4.7202 and 5.5401 Å and the angles 90.00°, 92.04° and 90.00°. The inequivalent atoms are Sb at (0.0000, 0.0000, 0.0000), Pb at (0.5000, 0.0000, 0.5000) and W at (0.2954, 0.5000, 0.1703).

For the energy relative to the elements, uncorrected, the calculation gives 1.01 eV/atom. As for the magnetic moment: 0.00 μB per cell. The value obtained for the relative energy among the computed polymorphs is 0.632 eV per atom. Its raw total energy is -7.43 eV per atom.


Entry 9:
Entry from Alexandria via LeMat-Bulk: crystalline Y2TlO4F at its relaxed geometry (PBE).

The structure belongs to space group C2/m (No. 12); the cell edges are 10.6722, 3.3669 and 6.4745 Å and the angles 90.00°, 112.39° and 90.00°. The inequivalent atoms are Y at (0.1890, 0.0000, 0.1987), Tl at (0.0000, 0.0000, 0.5000), O at (0.1365, 0.5000, 0.4329), O at (0.1767, 0.0000, 0.8283) and F at (0.0000, 0.5000, 0.0000).

For the energy relative to the elements, uncorrected, the calculation gives -2.65 eV/atom. As for the magnetic moment: 0.00 μB per cell. Its raw total energy is -7.27 eV per atom.


Entry 10:
Entry from Alexandria via LeMat-Bulk: crystalline CsNa2As2H2 at its relaxed geometry (PBE).

The structure belongs to space group C2/m (No. 12); the cell edges are 6.1897, 5.9023 and 9.6927 Å and the angles 90.00°, 106.10° and 90.00°. The inequivalent atoms are Cs at (0.0000, 0.0000, 0.0000), Na at (0.2492, 0.0000, 0.3806), As at (0.2099, 0.5000, 0.2964) and H at (0.0233, 0.5000, 0.1504).

As for the magnetic moment: 0.00 μB per cell. Its raw total energy is -2.97 eV per atom.


Entry 11:
Entry from Alexandria via LeMat-Bulk: crystalline DyTmTiAl at its relaxed geometry (PBE).

The structure belongs to space group F-43m (No. 216); the cell edges are 7.2253, 7.2253 and 7.2253 Å and the angles 90.00°, 90.00° and 90.00°. The inequivalent atoms are Dy at (0.0000, 0.0000, 0.0000), Tm at (0.0000, 0.0000, 0.5000), Ti at (0.2500, 0.2500, 0.2500) and Al at (0.2500, 0.2500, 0.7500).

Its formation enthalpy at 0 K is -0.0566 eV per atom. As for the magnetic moment: 10.17 μB per cell. Its raw total energy is -5.23 eV per atom.


Entry 12:
Entry from Alexandria via LeMat-Bulk: crystalline BaGe3Pt3 at its relaxed geometry (PBE).

The structure belongs to space group R-3 (No. 148, hexagonal axes); the cell edges are 6.9001, 6.9001 and 23.5174 Å and the angles 90.00°, 90.00° and 120.00°. The inequivalent atoms are Ba at (0.0000, 0.0000, 0.1619), Ge at (0.0142, 0.5962, 0.3808) and Pt at (0.0076, 0.7658, 0.6044).

Its formation enthalpy at 0 K is -0.5108 eV per atom. As for the magnetic moment: 0.00 μB per cell. The value obtained for the relative energy among the computed polymorphs is 0.092 eV per atom. Its raw total energy is -5.35 eV per atom.


- Which value of magnetic moment does entry 9 give?
  0.00 μB per cell